DFT (PBE-GGA) results for an optimized crystal structure of MnSiGe2.

For the uncorrected formation energy, the calculation gives -7 meV per atom. The calculated volume comes out at 15.67 A^3/atom. The electronic total energy is -47.7 eV per cell. The calculated density is 6.05 Mg/m³.

It has space group P2_1/m (No. 11), with a = 4.160 Å, b = 3.909 Å, c = 7.760 Å, α = 90.00°, β = 96.30° and γ = 90.00°. The distinct sites, in fractional coordinates, are Mn at (0.179, 0.250, 0.140), Si at (0.336, 0.750, 0.003), Ge at (0.179, 0.750, 0.334) and Ge at (0.291, 0.750, 0.666).

***

DFT (PBE-GGA) results for an optimized crystal structure of Er2MgZn3.

The calculated volume comes out at 20.56 A^3/atom. For the energy of formation, the calculation gives -0.32 eV per atom. The electronic total energy is -33.0 eV per cell. The calculated density is 7.47 Mg/m³.

It has space group P-3m1 (No. 164), with a = 4.8564 Å, b = 4.8564 Å, c = 12.0800 Å, α = 90.00°, β = 90.00° and γ = 120.00°. The distinct sites, in fractional coordinates, are Er at (0.0000, 0.0000, 0.0000), Er at (0.0000, 0.0000, 0.5000), Er at (0.3333, 0.6667, 0.1770), Mg at (0.3333, 0.6667, 0.6625), Zn at (0.0000, 0.0000, 0.2551), Zn at (0.3333, 0.6667, 0.4195) and Zn at (0.3333, 0.6667, 0.9150).

***

DFT (PBE-GGA) results for an optimized crystal structure of La3Pm4In.

The calculated volume comes out at 33.25 A^3/atom. For the energy of formation, the calculation gives -0.12 eV per atom. The electronic total energy is -74.9 eV per cell. The calculated density is 6.94 Mg/m³.

It has space group Pmmn (No. 59, origin choice 2), with a = 5.031 Å, b = 10.308 Å, c = 10.259 Å, α = 90.00°, β = 90.00° and γ = 90.00°. The distinct sites, in fractional coordinates, are La at (0.250, 0.001, 0.116), La at (0.250, 0.250, 0.878), Pm at (0.250, 0.250, 0.370), Pm at (0.250, 0.506, 0.627), Pm at (0.250, 0.750, 0.374) and In at (0.250, 0.750, 0.870).

***

DFT (PBE-GGA) results for an optimized crystal structure of Al2ReOs.

The calculated volume comes out at 14.58 A^3/atom. For the energy of formation, the calculation gives -0.06 eV per atom. The electronic total energy is -62.8 eV per cell. The calculated density is 12.25 Mg/m³.

It has space group Immm (No. 71), with a = 2.927 Å, b = 4.729 Å, c = 8.429 Å, α = 90.00°, β = 90.00° and γ = 90.00°. The distinct sites, in fractional coordinates, are Al at (0.000, 0.000, 0.246), Re at (0.000, 0.500, 0.000) and Os at (0.000, 0.500, 0.500).

***

DFT (PBE-GGA) results for an optimized crystal structure of Cs3Na2OsO6.

For the uncorrected formation energy, the calculation gives -1277 meV per atom. The calculated volume comes out at 18.36 A^3/atom. The electronic total energy is -123.0 eV per cell. The calculated density is 5.51 Mg/m³.

It has space group C2/m (No. 12), with a = 6.243 Å, b = 10.935 Å, c = 6.742 Å, α = 90.00°, β = 106.77° and γ = 90.00°. The distinct sites, in fractional coordinates, are Cs at (0.000, 0.000, 0.000), Cs at (0.000, 0.328, 0.000), Na at (0.000, 0.165, 0.500), Os at (0.000, 0.500, 0.500), O at (0.186, 0.374, 0.664) and O at (0.195, 0.500, 0.321).

***

DFT (PBE-GGA) results for an optimized crystal structure of Cs2NiIr.

The calculated volume comes out at 45.21 A^3/atom. For the energy of formation, the calculation gives 0.78 eV per atom. The electronic total energy is -52.9 eV per cell. The calculated density is 4.74 Mg/m³.

It has space group I-42d (No. 122), with a = 12.618 Å, b = 12.618 Å, c = 4.543 Å, α = 90.00°, β = 90.00° and γ = 90.00°. The distinct sites, in fractional coordinates, are Cs at (0.057, 0.750, 0.125), Ni at (0.000, 0.000, 0.000) and Ir at (0.000, 0.000, 0.500).